Entry 1:
Density functional theory data (PBE-GGA) for crystalline BaLi2AlAg4 at its relaxed geometry.

It has space group R-3m (No. 166, hexagonal axes), with a = 4.5734 Å, b = 4.5734 Å, c = 29.1019 Å, α = 90.00°, β = 90.00° and γ = 120.00°. The distinct sites, in fractional coordinates, are Ba at (0.0000, 0.0000, 0.0000), Li at (0.0000, 0.0000, 0.2283), Al at (0.0000, 0.0000, 0.5000), Ag at (0.0000, 0.0000, 0.1344) and Ag at (0.0000, 0.0000, 0.4111).

=====

Entry 2:
Density functional theory data (PBE-GGA) for crystalline Ba2LiAl3Ag12 at its relaxed geometry.

It has space group R-3m (No. 166, hexagonal axes), with a = 8.8578 Å, b = 8.8578 Å, c = 20.2527 Å, α = 90.00°, β = 90.00° and γ = 120.00°. The distinct sites, in fractional coordinates, are Ba at (0.0000, 0.0000, 0.1201), Li at (0.0000, 0.0000, 0.5000), Al at (0.0000, 0.5000, 0.0000), Ag at (0.0209, 0.5104, 0.1252) and Ag at (0.0223, 0.5112, 0.3611).

=====

Entry 3:
Density functional theory data (PBE-GGA) for crystalline Ba2LiAl12Ag3 at its relaxed geometry.

It has space group R-3m (No. 166, hexagonal axes), with a = 8.2044 Å, b = 8.2044 Å, c = 21.8706 Å, α = 90.00°, β = 90.00° and γ = 120.00°. The distinct sites, in fractional coordinates, are Ba at (0.0000, 0.0000, 0.0761), Li at (0.0000, 0.0000, 0.5000), Al at (0.0669, 0.5335, 0.8632), Al at (0.1094, 0.2188, 0.5912) and Ag at (0.0000, 0.5000, 0.0000).

=====

no.,calculated formation energy (eV per atom)
1,-0.182
2,0.163
3,0.181